a) First-principles (PBE) data for a relaxed ReMoPb2 crystal, as listed in the Alexandria database.

DOS(E_F): 2.53 states/eV per cell
Space-group type: Imm2, No. 44

Geometry as extended XYZ:
```
4
Lattice="-0.0590 5.9510 2.8219 1.0250 1.4064 6.3523 1.9614 -2.5566 -5.7444" Properties=species:S:1:pos:R:3 pbc="T T T"
Mo 1.1385 3.1235 0.3173
Pb 0.9550 7.2735 9.0696
Pb 1.7566 1.4314 2.8060
Re 0.5263 4.0084 4.9983
```

=====

b) First-principles (PBE) data for a relaxed ReMoPb2 crystal, as listed in the Alexandria database.

DOS(E_F): 4.37 states/eV per cell
Space-group type: C2/m, No. 12

Geometry as extended XYZ:
```
4
Lattice="4.8498 0.0068 -0.0046 3.7895 3.0266 -0.0046 1.0654 0.3741 5.4184" Properties=species:S:1:pos:R:3 pbc="T T T"
Mo 2.4262 0.8519 1.3523
Pb 1.0761 0.3778 5.4015
Pb 4.8417 1.7000 2.7215
Re 7.2785 2.5556 4.0569
```

=====

c) First-principles (PBE) data for a relaxed ReMoPb2 crystal, as listed in the Alexandria database.

DOS(E_F): 4.57 states/eV per cell
Space-group type: P2/m, No. 10

Geometry as extended XYZ:
```
4
Lattice="-2.8881 3.3731 1.0846 0.2000 -0.7997 3.0195 4.4051 3.4608 0.9669" Properties=species:S:1:pos:R:3 pbc="T T T"
Mo 2.0098 3.6824 3.5321
Pb 0.0101 -0.0092 0.0555
Pb 2.2925 1.3398 1.9377
Re -0.2928 2.3519 1.5389
```

=====

d) First-principles (PBE) data for a relaxed ReMoPb2 crystal, as listed in the Alexandria database.

DOS(E_F): 4.30 states/eV per cell
Space-group type: P4/mmm, No. 123

Geometry as extended XYZ:
```
4
Lattice="-1.4354 1.4050 2.7320 2.6894 -0.8828 1.8670 2.9853 5.9452 -1.4890" Properties=species:S:1:pos:R:3 pbc="T T T"
Mo 2.8660 4.7200 1.1828
Pb 0.0153 0.0305 -0.0076
Pb 1.4773 2.9421 -0.7369
Re 1.3733 1.7474 1.9273
```

=====

From most stable to least stable, the computed energies give a), b), d), c).